Density functional theory data (PBE-GGA) for a relaxed structure of Mg3TiRe.

E_form (meV/atom): 1244.1
Polymorph energy (0 for the lowest one) (meV/atom): 0

Lattice parameters (Å, degrees): 4.952 4.952 4.952 90.00 90.00 90.00
Space group Pm-3m (No. 221)
Unique sites:
Mg1 0.000 0.000 0.500 (multiplicity 3)
Ti1 0.500 0.500 0.500 (multiplicity 1)
Re1 0.000 0.000 0.000 (multiplicity 1)

Density functional theory data (PBE-GGA) for a relaxed structure of MgTi2Re.

E_form (meV/atom): -164.3

Lattice parameters (Å, degrees): 3.196 3.196 6.740 90.00 90.00 90.00
Space group P4/mmm (No. 123)
Unique sites:
Mg1 0.000 0.000 0.000 (multiplicity 1)
Ti1 0.500 0.500 0.287 (multiplicity 2)
Re1 0.000 0.000 0.500 (multiplicity 1)

Density functional theory data (PBE-GGA) for a relaxed structure of Mg2Ti2Re.

E_form (meV/atom): 559.4
Polymorph energy (0 for the lowest one) (meV/atom): 219

Lattice parameters (Å, degrees): 3.466 3.466 15.555 90.00 90.00 90.00
Space group I4/mmm (No. 139)
Unique sites:
Mg1 0.000 0.500 0.250 (multiplicity 4)
Ti1 0.000 0.000 0.085 (multiplicity 4)
Re1 0.000 0.000 0.500 (multiplicity 2)

Density functional theory data (PBE-GGA) for a relaxed structure of MgTi3Re.

E_form (meV/atom): 553.8
Polymorph energy (0 for the lowest one) (meV/atom): 0

Lattice parameters (Å, degrees): 4.804 4.804 4.804 90.00 90.00 90.00
Space group Pm-3m (No. 221)
Unique sites:
Mg1 0.000 0.000 0.000 (multiplicity 1)
Ti1 0.000 0.500 0.500 (multiplicity 3)
Re1 0.500 0.500 0.500 (multiplicity 1)

Density functional theory data (PBE-GGA) for a relaxed structure of MgTiRe4.

E_form (meV/atom): 10.1

Lattice parameters (Å, degrees): 7.368 7.368 7.368 90.00 90.00 90.00
Space group F-43m (No. 216)
Unique sites:
Mg1 0.000 0.000 0.000 (multiplicity 4)
Ti1 0.250 0.250 0.250 (multiplicity 4)
Re1 0.125 0.125 0.625 (multiplicity 16)

Density functional theory data (PBE-GGA) for a relaxed structure of MgTi2Re.

E_form (meV/atom): -64.7

Lattice parameters (Å, degrees): 4.442 4.442 3.298 90.00 90.00 90.00
Space group P4/mmm (No. 123)
Unique sites:
Mg1 0.000 0.000 0.000 (multiplicity 1)
Ti1 0.000 0.500 0.500 (multiplicity 2)
Re1 0.500 0.500 0.000 (multiplicity 1)

no.,DFT total energy (Ry per atom)
1,-0.2779
2,-0.5602
3,-0.4209
4,-0.5139
5,-0.7254
6,-0.5529